Material: Li2Al2GaCu5
Method: DFT, GGA-PBE
State: relaxed

## Properties
Raw total energy in Ry/atom: -0.2607
Total moment in μB per atom: 0.0000
Space-group type: No. 127

Geometry as POSCAR:
```
Li2Al2GaCu5
1.0
2.9222 0.0000 0.0000
0.0000 10.1467 0.0000
0.0000 0.0000 10.1467
Cu Al Ga Li
10 4 2 4
Direct
0.5000 0.5000 0.0000
0.5000 0.3106 0.5537
0.5000 0.9463 0.1894
0.5000 0.0537 0.8106
0.5000 0.8106 0.9463
0.5000 0.5537 0.6894
0.5000 0.0000 0.5000
0.5000 0.1894 0.0537
0.5000 0.6894 0.4463
0.5000 0.4463 0.3106
0.0000 0.8650 0.3650
0.0000 0.3650 0.1350
0.0000 0.1350 0.6350
0.0000 0.6350 0.8650
0.0000 0.5000 0.5000
0.0000 0.0000 0.0000
0.0000 0.1660 0.3340
0.0000 0.3340 0.8340
0.0000 0.8340 0.6660
0.0000 0.6660 0.1660
```